1.
A plane-wave DFT calculation with GGA-PBE was carried out for a relaxed structure of TmCu4Si4.

Cell lengths 5.7376, 5.7376, 8.1944 Å; angles 90.00, 90.00, 90.00 degrees
Last column: nearest neighbours and their distance in Å.
Element x y z (fractional)
Tm (0.2500, 0.7500, 0.2500)  4 Si 2.91, 8 Cu 3.23
Tm (0.7500, 0.2500, 0.7500)  4 Si 2.91, 8 Cu 3.23
Cu (0.0219, 0.2500, 0.1667)  5 Si 2.38-2.49, 3 Cu 2.59-2.62
Cu (0.2500, 0.0219, 0.6667)  5 Si 2.38-2.49, 3 Cu 2.59-2.62
Cu (0.2500, 0.4781, 0.6667)  5 Si 2.38-2.49, 3 Cu 2.59-2.62
Cu (0.4781, 0.2500, 0.1667)  5 Si 2.38-2.49, 3 Cu 2.59-2.62
Cu (0.5219, 0.7500, 0.8333)  5 Si 2.38-2.49, 3 Cu 2.59-2.62
Cu (0.7500, 0.5219, 0.3333)  5 Si 2.38-2.49, 3 Cu 2.59-2.62
Cu (0.7500, 0.9781, 0.3333)  5 Si 2.38-2.49, 3 Cu 2.59-2.62
Cu (0.9781, 0.7500, 0.8333)  5 Si 2.38-2.49, 3 Cu 2.59-2.62
Si (0.0386, 0.2500, 0.4573)  5 Cu 2.38-2.49, 1 Si 2.43
Si (0.2500, 0.0386, 0.9573)  5 Cu 2.38-2.49, 1 Si 2.43
Si (0.2500, 0.4614, 0.9573)  5 Cu 2.38-2.49, 1 Si 2.43
Si (0.4614, 0.2500, 0.4573)  5 Cu 2.38-2.49, 1 Si 2.43
Si (0.5386, 0.7500, 0.5427)  5 Cu 2.38-2.49, 1 Si 2.43
Si (0.7500, 0.5386, 0.0427)  5 Cu 2.38-2.49, 1 Si 2.43
Si (0.7500, 0.9614, 0.0427)  5 Cu 2.38-2.49, 1 Si 2.43
Si (0.9614, 0.7500, 0.5427)  5 Cu 2.38-2.49, 1 Si 2.43

- Density: 6.592 g cm⁻³
- VASP energy: -4.849 eV/atom

***

2.
A plane-wave DFT calculation with GGA-PBE was carried out for a relaxed structure of InSeI.

Cell lengths 4.2274, 9.3474, 5.9536 Å; angles 90.00, 90.00, 90.00 degrees
Last column: nearest neighbours and their distance in Å.
Element x y z (fractional)
In (0.0000, 0.1138, 0.0000)  3 Se 2.65-2.68, 1 I 2.70
In (0.5000, 0.8862, 0.5000)  3 Se 2.65-2.68, 1 I 2.70
Se (0.0000, 0.8683, 0.2240)  3 In 2.65-2.68
Se (0.5000, 0.1317, 0.7240)  3 In 2.65-2.68
I (0.0000, 0.3545, 0.2516)  1 In 2.70
I (0.5000, 0.6455, 0.7516)  1 In 2.70

- Density: 4.527 g cm⁻³
- VASP energy: -3.111 eV/atom

***

3.
A plane-wave DFT calculation with GGA-PBE was carried out for a relaxed structure of AcAlGa2Au4.

Cell lengths 9.6674, 9.6674, 9.6674 Å; angles 27.20, 27.20, 27.20 degrees
Last column: nearest neighbours and their distance in Å.
Element x y z (fractional)
Ac (0.0000, 0.0000, 0.0000)  6 Au 3.28, 6 Ga 3.55
Al (0.5000, 0.5000, 0.5000)  8 Au 2.68-2.73
Ga (0.2479, 0.2479, 0.2479)  3 Au 2.66
Ga (0.7521, 0.7521, 0.7521)  3 Au 2.66
Au (0.1403, 0.1403, 0.1403)  3 Al 2.73, 4 Ga 3.00-3.04, 3 Au 3.01
Au (0.4040, 0.4040, 0.4040)  3 Ga 2.66, 1 Al 2.68
Au (0.5960, 0.5960, 0.5960)  3 Ga 2.66, 1 Al 2.68
Au (0.8597, 0.8597, 0.8597)  3 Al 2.73, 4 Ga 3.00-3.04, 3 Au 3.01

- Density: 11.778 g cm⁻³
- Energy relative to the elements: -492 meV per atom